{
  "formula": "KScSiSe4",
  "functional": "PBE",
  "state": "optimized geometry",
  "lattice_angstrom": [[-2.9754, -5.7293, -0.5442], [5.9111, -3.2340, 1.7291], [-0.9269, 2.8574, 8.5132]],
  "species": ["Se", "Se", "Se", "K", "Si", "Se", "Se", "Si", "Sc", "Se", "K", "Se", "Sc", "Se"],
  "frac_coords": [[0.5408, 0.2500, 0.4152], [0.0110, 0.5026, 0.7006], [0.4592, 0.7500, 0.5848], [0.7575, 0.7500, 0.9453], [0.2306, 0.7500, 0.3388], [0.9890, 0.4974, 0.2994], [0.4328, 0.7500, 0.1753], [0.7694, 0.2500, 0.6612], [0.7776, 0.7500, 0.4506], [0.5672, 0.2500, 0.8247], [0.2425, 0.2500, 0.0547], [0.0110, 0.9974, 0.7006], [0.2224, 0.2500, 0.5494], [0.9890, 0.0026, 0.2994]],
  "volume_a3_per_atom": 27.6,
  "total_energy_ev_per_atom": -4.9337,
  "formation_energy_uncorrected_ev_per_atom": -1.1065
}

{
  "formula": "K2Sc2SiSe6",
  "functional": "PBE",
  "state": "optimized geometry",
  "lattice_angstrom": [[6.6824, -0.0172, 0.0300], [-3.3178, 5.8006, 0.0300], [-1.2326, -2.1187, 7.7938]],
  "species": ["Si", "K", "Se", "Se", "Se", "Sc", "Se", "K", "Se", "Se", "Sc"],
  "frac_coords": [[0.0000, 0.0000, 0.5000], [0.8275, 0.1725, 0.0000], [0.3771, 0.0693, 0.6866], [0.2405, 0.2405, 0.3186], [0.7595, 0.7595, 0.6814], [0.6689, 0.3311, 0.5000], [0.6229, 0.9307, 0.3134], [0.1725, 0.8275, 0.0000], [0.9307, 0.6229, 0.3134], [0.0693, 0.3771, 0.6866], [0.3311, 0.6689, 0.5000]],
  "volume_a3_per_atom": 27.5,
  "total_energy_ev_per_atom": -4.9781,
  "formation_energy_uncorrected_ev_per_atom": -1.2337
}

{
  "formula": "K2SmScSe4",
  "functional": "PBE",
  "state": "optimized geometry",
  "lattice_angstrom": [[-0.2505, 4.1533, -0.1295], [-7.0607, -0.4684, -1.3657], [0.8893, 0.3023, 7.9755]],
  "species": ["Se", "Se", "Sc", "Sm", "Se", "K", "Se", "K"],
  "frac_coords": [[0.0000, 0.2492, 0.7947], [0.5000, 0.7817, 0.8018], [0.0000, 0.0000, 0.0000], [0.5000, 0.5000, 0.0000], [0.0000, 0.7508, 0.2053], [0.0000, 0.5000, 0.5000], [0.5000, 0.2183, 0.1982], [0.5000, 0.0000, 0.5000]],
  "n_ef_per_ev_cell": 0.0,
  "volume_a3_per_atom": 28.7,
  "total_energy_ev_per_atom": -5.0723,
  "formation_energy_uncorrected_ev_per_atom": -1.6744
}

{
  "formula": "K3Sc2SnSe6",
  "functional": "PBE",
  "state": "optimized geometry",
  "lattice_angstrom": [[7.0854, -0.0013, 0.0003], [-3.5421, 6.1365, 0.0003], [-1.1815, -2.0458, 7.6132]],
  "species": ["K", "Se", "K", "Sc", "K", "Sn", "Se", "Se", "Sc", "Se", "Se", "Se"],
  "frac_coords": [[0.8365, 0.1635, 0.5000], [0.0658, 0.4109, 0.1971], [0.5000, 0.5000, 0.5000], [0.3329, 0.6671, 0.0000], [0.1635, 0.8365, 0.5000], [0.0000, 0.0000, 0.0000], [0.7201, 0.7201, 0.1963], [0.4109, 0.0658, 0.1971], [0.6671, 0.3329, 0.0000], [0.2799, 0.2799, 0.8037], [0.5891, 0.9342, 0.8029], [0.9342, 0.5891, 0.8029]],
  "n_ef_per_ev_cell": 3.8,
  "volume_a3_per_atom": 27.6,
  "total_energy_ev_per_atom": -4.7229,
  "formation_energy_uncorrected_ev_per_atom": -1.3174
}